(1)
Cr2RuW | GGA-PBE | relaxed

Calculated values
Size of the total moment   0.00 μB per cell
Excess energy over the best structure of this formula in the dataset   0.094 eV/atom
Space group   P2/m, No. 10
VASP energy   -10.188 eV/atom
Energy of formation from the pure elements   0.18 eV per atom
Density of states at the Fermi level   1.250 states/eV/atom

Structure (extended XYZ):
```
4
Lattice="-3.136 -2.671 -0.565 1.216 -0.972 -2.151 2.757 -3.666 2.029" Properties=species:S:1:pos:R:3 pbc="T T T"
Cr 2.028 -2.348 -0.158
Cr 1.174 -0.943 -2.053
W 1.411 -4.814 -0.374
Ru -0.575 -2.495 -0.313
```

***

(2)
GeH | GGA-PBE | relaxed

Calculated values
Size of the total moment   0.00 μB per cell
Space group   P1, No. 1
VASP energy   -3.793 eV/atom
Density of states at the Fermi level   0.214 states/eV/atom

Structure (extended XYZ):
```
4
Lattice="-1.822 0.451 1.936 -0.038 -2.783 0.614 6.710 2.398 5.122" Properties=species:S:1:pos:R:3 pbc="T T T"
Ge 4.457 1.806 4.106
Ge 6.106 0.719 5.888
H 1.170 0.416 3.715
H 0.944 0.158 3.046
```

***

(3)
Ti2AlZnCd | GGA-PBE | relaxed

Calculated values
Size of the total moment   0.00 μB per cell
Space group   P4/mmm, No. 123
VASP energy   -3.575 eV/atom
Energy of formation from the pure elements   0.77 eV per atom
Density of states at the Fermi level   0.783 states/eV/atom

Structure (extended XYZ):
```
5
Lattice="4.785 0.000 0.000 0.000 4.820 0.000 0.000 0.000 4.785" Properties=species:S:1:pos:R:3 pbc="T T T"
Ti 2.392 0.000 0.000
Ti 0.000 0.000 2.392
Al 0.000 0.000 0.000
Zn 2.392 2.410 2.392
Cd 0.000 2.410 0.000
```

***

(4)
CaZn2In | GGA-PBE | relaxed

Calculated values
Size of the total moment   0.00 μB per cell
Space group   P4/mmm, No. 123
VASP energy   -1.991 eV/atom
Energy of formation from the pure elements   -0.17 eV per atom
Density of states at the Fermi level   0.559 states/eV/atom

Structure (extended XYZ):
```
4
Lattice="4.571 0.000 0.000 0.000 4.577 0.000 0.000 0.000 4.234" Properties=species:S:1:pos:R:3 pbc="T T T"
Zn 2.286 2.288 0.000
Zn 0.000 0.000 0.000
Ca 2.286 0.000 2.117
In 0.000 2.288 2.117
```

***

(5)
Sb3SeS3 | GGA-PBE | relaxed

Calculated values
Size of the total moment   0.00 μB per cell
Excess energy over the best structure of this formula in the dataset   0.061 eV/atom
Space group   P2_1/m, No. 11
VASP energy   -4.134 eV/atom
Formation energy without anion corrections   -0.101 eV per atom
Density of states at the Fermi level   0.217 states/eV/atom

Structure (extended XYZ):
```
14
Lattice="5.393 0.000 0.000 0.000 11.411 -1.996 0.000 -7.262 9.170" Properties=species:S:1:pos:R:3 pbc="T T T"
Se 1.348 5.382 1.632
Se 4.045 -1.233 5.541
Sb 1.348 8.653 -0.399
Sb 4.045 -0.260 3.108
Sb 4.045 1.365 5.865
Sb 1.348 2.784 1.308
Sb 1.348 4.409 4.065
Sb 4.045 -4.504 7.572
S 1.348 -4.961 7.827
S 4.045 4.622 4.638
S 4.045 2.364 0.843
S 1.348 1.786 6.330
S 4.045 9.110 -0.654
S 1.348 -0.473 2.536
```

***

(6)
Hf3VC | GGA-PBE | relaxed

Calculated values
Size of the total moment   0.00 μB per cell
Excess energy over the best structure of this formula in the dataset   2.011 eV/atom
Space group   Pm-3m, No. 221
VASP energy   -7.778 eV/atom
Energy of formation from the pure elements   1.86 eV per atom
Density of states at the Fermi level   0.828 states/eV/atom

Structure (extended XYZ):
```
5
Lattice="-1.852 -2.215 3.773 -1.730 -3.393 -2.841 4.019 -2.481 0.517" Properties=species:S:1:pos:R:3 pbc="T T T"
Hf -0.865 -1.697 -1.420
Hf 2.009 -1.241 0.258
Hf -0.926 -1.107 1.887
V 0.000 0.000 0.000
C 0.218 -4.045 0.725
```

***

(7)
Pm5AuSe5 | GGA-PBE | relaxed

Calculated values
Size of the total moment   0.00 μB per cell
Space group   C2/m, No. 12
VASP energy   -5.688 eV/atom
Formation energy without anion corrections   -1.647 eV per atom
Density of states at the Fermi level   0.775 states/eV/atom

Structure (extended XYZ):
```
11
Lattice="5.982 0.000 0.000 -2.991 6.644 -0.076 0.000 -2.576 8.069" Properties=species:S:1:pos:R:3 pbc="T T T"
Au 0.000 0.000 0.000
Se 0.000 -1.288 4.034
Se 2.991 0.107 6.747
Se 0.000 2.644 5.334
Se 2.991 1.424 2.659
Se 0.000 3.960 1.246
Pm 2.991 4.043 1.349
Pm 2.991 2.734 5.270
Pm 0.000 0.025 6.644
Pm 0.000 1.333 2.723
Pm 2.991 0.000 0.000
```

***

(8)
BaHfHg2 | GGA-PBE | relaxed

Calculated values
Size of the total moment   2.38 μB per cell
Excess energy over the best structure of this formula in the dataset   0.167 eV/atom
Space group   I-42d, No. 122
VASP energy   -2.804 eV/atom
Energy of formation from the pure elements   0.32 eV per atom
Density of states at the Fermi level   1.153 states/eV/atom

Structure (extended XYZ):
```
8
Lattice="-0.588 2.179 5.208 -4.177 -3.690 1.072 3.827 -6.840 6.388" Properties=species:S:1:pos:R:3 pbc="T T T"
Ba -2.383 -0.756 3.140
Ba -1.366 -5.643 5.300
Hg -1.787 -6.883 10.411
Hg 1.571 -5.266 7.021
Hg -0.002 -0.555 5.594
Hg -1.659 -3.999 2.310
Hf 0.000 0.000 0.000
Hf 0.428 -2.708 7.368
```

***

Copy entry 3 word for word.
Ti2AlZnCd | GGA-PBE | relaxed

Calculated values
Size of the total moment   0.00 μB per cell
Space group   P4/mmm, No. 123
VASP energy   -3.575 eV/atom
Energy of formation from the pure elements   0.77 eV per atom
Density of states at the Fermi level   0.783 states/eV/atom

Structure (extended XYZ):
```
5
Lattice="4.785 0.000 0.000 0.000 4.820 0.000 0.000 0.000 4.785" Properties=species:S:1:pos:R:3 pbc="T T T"
Ti 2.392 0.000 0.000
Ti 0.000 0.000 2.392
Al 0.000 0.000 0.000
Zn 2.392 2.410 2.392
Cd 0.000 2.410 0.000
```

***

Copy entry 1 word for word.
Cr2RuW | GGA-PBE | relaxed

Calculated values
Size of the total moment   0.00 μB per cell
Excess energy over the best structure of this formula in the dataset   0.094 eV/atom
Space group   P2/m, No. 10
VASP energy   -10.188 eV/atom
Energy of formation from the pure elements   0.18 eV per atom
Density of states at the Fermi level   1.250 states/eV/atom

Structure (extended XYZ):
```
4
Lattice="-3.136 -2.671 -0.565 1.216 -0.972 -2.151 2.757 -3.666 2.029" Properties=species:S:1:pos:R:3 pbc="T T T"
Cr 2.028 -2.348 -0.158
Cr 1.174 -0.943 -2.053
W 1.411 -4.814 -0.374
Ru -0.575 -2.495 -0.313
```